Record 1
# TaBeFePb

TaBeFePb after structural relaxation (PBE, OQMD).

Properties
* relative energy among the computed polymorphs: 0.288 eV/atom

Unit cell a=4.4958 b=4.4958 c=4.4958 alpha=60.00 beta=60.00 gamma=60.00
Fractional positions:
Ta1 0.0000 0.0000 0.0000
Be1 0.7500 0.7500 0.7500
Fe1 0.5000 0.5000 0.5000
Pb1 0.2500 0.2500 0.2500



Record 2
# BeFeTcPb

BeFeTcPb after structural relaxation (PBE, OQMD).

Properties
* relative energy among the computed polymorphs: 0.000 eV/atom

Unit cell a=4.3371 b=4.3371 c=4.3371 alpha=60.00 beta=60.00 gamma=60.00
Fractional positions:
Be1 0.0000 0.0000 0.0000
Fe1 0.5000 0.5000 0.5000
Tc1 0.7500 0.7500 0.7500
Pb1 0.2500 0.2500 0.2500



Record 3
# BeFePbW

BeFePbW after structural relaxation (PBE, OQMD).

Properties
* relative energy among the computed polymorphs: 0.000 eV/atom

Unit cell a=4.3593 b=4.3593 c=4.3593 alpha=60.00 beta=60.00 gamma=60.00
Fractional positions:
Be1 0.0000 0.0000 0.0000
Fe1 0.5000 0.5000 0.5000
Pb1 0.2500 0.2500 0.2500
W1 0.7500 0.7500 0.7500



Record 4
# BeFePbW

BeFePbW after structural relaxation (PBE, OQMD).

Properties
* relative energy among the computed polymorphs: 0.171 eV/atom

Unit cell a=4.4272 b=4.4272 c=4.4272 alpha=60.00 beta=60.00 gamma=60.00
Fractional positions:
Be1 0.0000 0.0000 0.0000
Fe1 0.7500 0.7500 0.7500
Pb1 0.5000 0.5000 0.5000
W1 0.2500 0.2500 0.2500



Record 5
# YBeFePb

YBeFePb after structural relaxation (PBE, OQMD).

Properties
* relative energy among the computed polymorphs: 0.000 eV/atom

Unit cell a=4.6901 b=4.6901 c=4.6901 alpha=60.00 beta=60.00 gamma=60.00
Fractional positions:
Y1 0.0000 0.0000 0.0000
Be1 0.2500 0.2500 0.2500
Fe1 0.7500 0.7500 0.7500
Pb1 0.5000 0.5000 0.5000



Record 6
# YBeFePb

YBeFePb after structural relaxation (PBE, OQMD).

Properties
* relative energy among the computed polymorphs: 0.052 eV/atom

Unit cell a=4.7649 b=4.7649 c=4.7649 alpha=60.00 beta=60.00 gamma=60.00
Fractional positions:
Y1 0.0000 0.0000 0.0000
Be1 0.7500 0.7500 0.7500
Fe1 0.5000 0.5000 0.5000
Pb1 0.2500 0.2500 0.2500



Record 7
# ZrBeFePb

ZrBeFePb after structural relaxation (PBE, OQMD).

Properties
* relative energy among the computed polymorphs: 0.000 eV/atom

Unit cell a=4.4662 b=4.4662 c=4.4662 alpha=60.00 beta=60.00 gamma=60.00
Fractional positions:
Zr1 0.0000 0.0000 0.0000
Be1 0.2500 0.2500 0.2500
Fe1 0.7500 0.7500 0.7500
Pb1 0.5000 0.5000 0.5000



Record 8
# ZrBeFePb

ZrBeFePb after structural relaxation (PBE, OQMD).

Properties
* relative energy among the computed polymorphs: 0.226 eV/atom

Unit cell a=4.6086 b=4.6086 c=4.6086 alpha=60.00 beta=60.00 gamma=60.00
Fractional positions:
Zr1 0.0000 0.0000 0.0000
Be1 0.7500 0.7500 0.7500
Fe1 0.5000 0.5000 0.5000
Pb1 0.2500 0.2500 0.2500



Record 9
# ZrBeFePb

ZrBeFePb after structural relaxation (PBE, OQMD).

Properties
* relative energy among the computed polymorphs: 0.247 eV/atom

Unit cell a=4.6278 b=4.6278 c=4.6278 alpha=60.00 beta=60.00 gamma=60.00
Fractional positions:
Zr1 0.0000 0.0000 0.0000
Be1 0.5000 0.5000 0.5000
Fe1 0.2500 0.2500 0.2500
Pb1 0.7500 0.7500 0.7500



Record 10
# BeFe2Pd

BeFe2Pd after structural relaxation (PBE, OQMD).

Unit cell a=4.0350 b=4.0350 c=4.0350 alpha=60.00 beta=60.00 gamma=60.00
Fractional positions:
Be1 0.0000 0.0000 0.0000
Fe1 0.5000 0.5000 0.5000
Fe2 0.7500 0.7500 0.7500
Pd1 0.2500 0.2500 0.2500



Record 11
# BeFePd

BeFePd after structural relaxation (PBE, OQMD).

Properties
* relative energy among the computed polymorphs: 0.000 eV/atom

Unit cell a=3.7867 b=3.7867 c=3.7867 alpha=60.00 beta=60.00 gamma=60.00
Fractional positions:
Be1 0.0000 0.0000 0.0000
Fe1 0.7500 0.7500 0.7500
Pd1 0.2500 0.2500 0.2500



Record 12
# BeFeSiPd

BeFeSiPd after structural relaxation (PBE, OQMD).

Properties
* relative energy among the computed polymorphs: 0.307 eV/atom

Unit cell a=4.0713 b=4.0713 c=4.0713 alpha=60.00 beta=60.00 gamma=60.00
Fractional positions:
Be1 0.0000 0.0000 0.0000
Fe1 0.5000 0.5000 0.5000
Si1 0.7500 0.7500 0.7500
Pd1 0.2500 0.2500 0.2500



no.,E_tot (eV per atom)
1,-6.100
2,-5.932
3,-6.368
4,-6.198
5,-5.253
6,-5.201
7,-5.854
8,-5.628
9,-5.607
10,-6.462
11,-5.663
12,-5.745